No. 1
Material: Ti5S8
Method: DFT, PBEsol
State: optimized geometry

Geometry as extended XYZ:
```
13
Lattice="-1.3145 1.7058 6.2762 -2.6149 -5.5893 -2.4394 6.6478 -0.9913 -0.0911" Properties=species:S:1:pos:R:3 pbc="T T T"
Ti 1.7334 -0.5651 4.0038
Ti 0.9850 -4.3097 -0.2581
Ti -2.2456 -3.7927 -0.2428
Ti 4.9640 -1.0821 3.9885
Ti 0.0000 0.0000 0.0000
S -0.5693 -3.8077 1.4587
S 3.2877 -1.0671 2.2870
S -1.9791 -2.5223 4.2331
S 4.6975 -2.3525 -0.4874
S 2.7534 -4.2740 1.4110
S -0.0350 -0.6008 2.3347
S 1.4017 -1.8987 -0.4863
S 1.3167 -2.9761 4.2320
```

Properties
The energy above the most stable polymorph in this dataset comes out at 0 meV per atom.


No. 2
Material: TiS3
Method: DFT, PBEsol
State: optimized geometry

Geometry as extended XYZ:
```
8
Lattice="3.3622 0.0000 0.0000 0.0000 4.8963 -0.0338 0.0000 -0.9933 8.7318" Properties=species:S:1:pos:R:3 pbc="T T T"
Ti 0.8405 3.1670 3.0077
Ti 2.5216 0.7360 5.6903
S 0.8405 -0.2694 7.1886
S 2.5216 4.1723 1.5094
S 2.5216 3.1795 4.7854
S 0.8405 0.7235 3.9126
S 2.5216 2.1299 1.5372
S 0.8405 1.7731 7.1608
```


No. 3
Material: TiS2
Method: DFT, PBEsol
State: optimized geometry

Geometry as extended XYZ:
```
6
Lattice="-3.0543 0.1495 1.3644 1.2327 -2.9390 -1.0275 5.0007 -1.8889 11.4018" Properties=species:S:1:pos:R:3 pbc="T T T"
S 0.3695 -2.1232 1.0598
S 2.8096 -2.5552 10.6788
S 1.4408 -2.0382 7.5581
S 1.7382 -2.6402 4.1806
Ti 0.0000 0.0000 0.0000
Ti 2.5004 -0.9444 5.7009
```


No. 4
Material: Ti13S24
Method: DFT, PBEsol
State: optimized geometry

Geometry as extended XYZ:
```
37
Lattice="-6.0452 2.7621 5.7396 -6.0207 -6.1812 -1.6743 -1.2040 -6.3670 7.6842" Properties=species:S:1:pos:R:3 pbc="T T T"
Ti -6.8728 -5.8921 7.2095
Ti -0.8445 -4.2086 5.0884
Ti -7.0956 -9.2397 6.5772
Ti -3.0103 -3.0906 -0.8371
Ti -6.9976 -4.7081 10.3103
Ti -6.0330 -1.7096 2.0327
Ti 0.0000 0.0000 0.0000
Ti -6.2723 -5.0780 1.4393
Ti -6.1742 -0.5464 5.1723
Ti -6.3971 -3.8940 4.5401
Ti -12.4253 -5.5775 6.6611
Ti -6.6663 -7.1388 3.9757
Ti -6.6036 -2.6474 7.7738
S -8.4643 -7.6482 7.6862
S -2.4188 -5.9395 5.6609
S -8.6698 -10.9571 7.1027
S -8.6766 -6.4627 10.7958
S -5.3979 -7.5273 6.0478
S -5.3999 -3.0514 9.7772
S -7.6324 -3.4160 2.5531
S -1.6426 -1.6887 0.5516
S -11.6272 -8.0974 11.1980
S -5.6375 -6.3701 9.1964
S -7.8720 -2.2589 5.7017
S -7.8700 -6.7347 1.9724
S -4.5933 -3.3234 0.9537
S -4.6001 1.1709 4.6468
S -8.0347 -5.5423 5.1243
S -2.0290 -3.8136 3.0760
S -10.8511 -3.8466 6.0886
S -4.8055 -2.1379 4.0633
S -8.2610 -4.3268 8.2834
S -8.2839 -8.8227 4.5462
S -5.0089 -5.4593 3.4662
S -4.9860 -0.9635 7.2034
S -11.2409 -5.9725 8.6735
S -5.2352 -4.2439 6.6252
```


No. 5
Material: Ti2S3
Method: DFT, PBEsol
State: optimized geometry

Geometry as extended XYZ:
```
10
Lattice="-5.0949 1.3540 -2.5084 3.9958 -3.0501 -2.9690 -1.8590 -4.2296 3.7498" Properties=species:S:1:pos:R:3 pbc="T T T"
S -3.7401 -3.6515 -1.2613
S -0.6571 -5.1450 -1.4175
S -1.6596 -3.5787 1.4628
S 0.7818 -2.2742 -0.4663
S -1.2986 -2.3470 -3.1904
S -2.3011 -0.7807 -0.3101
Ti -2.1073 -0.0934 -2.6598
Ti 1.0081 -1.6027 -2.8176
Ti 0.0000 0.0000 0.0000
Ti -1.4791 -2.9628 -0.8638
```


No. 6
Material: Ti5S8
Method: DFT, PBEsol
State: optimized geometry

Geometry as extended XYZ:
```
13
Lattice="3.3545 0.0000 0.0000 0.0000 5.8345 -0.0044 -1.6772 -2.7472 11.5258" Properties=species:S:1:pos:R:3 pbc="T T T"
Ti 1.6772 -0.8943 5.9497
Ti 1.6772 4.9293 2.8748
Ti 0.0000 1.9311 2.8830
Ti 0.0000 -1.7907 8.6157
Ti 1.6772 1.1243 8.7052
S 0.0000 0.2131 7.1840
S 1.6772 2.9656 7.1766
S 0.0000 0.0264 1.4554
S 1.6772 2.9455 1.5109
S 0.0000 2.0999 10.0932
S 1.6772 -0.8510 10.0508
S 1.6772 1.0056 4.3786
S 0.0000 3.9088 4.4032
```

Properties
The energy above the most stable polymorph in this dataset comes out at 31 meV per atom.


Mass density: 3677, 3331, 3042, 3490, 3839, 3651 (kg/m³)
Calculated total energy: -95.78, -51.35, -42.06, -264.54, -74.60, -95.37 (eV for the cell shown)
E_form (uncorrected): -1.469, -1.051, -1.313, -1.382, -1.500, -1.438 (eV per atom)